A plane-wave DFT calculation with PBE was carried out for an optimized crystal structure of TaIn2Te.

The space group is Imm2 (No. 44) and the conventional cell measures 3.2898, 4.8889 and 13.3894 Å, with angles of 90.00, 90.00 and 90.00 degrees. The distinct sites, in fractional coordinates, are Ta at (0.0000, 0.0000, 0.0000), In at (0.0000, 0.0000, 0.4728), In at (0.0000, 0.5000, 0.3091) and Te at (0.0000, 0.5000, 0.6638).

As for the polymorph energy (0 for the lowest one): 117 meV per atom. The calculation puts the formation energy without anion corrections at 0.8 eV per formula unit.